! CsZr3 (PBE, optimized geometry); values from VASP
&SYSTEM
  ibrav = 0, nat = 8, ntyp = 2
/
ATOMIC_SPECIES
Cs 132.91 Cs.upf
Zr 91.22 Zr.upf
CELL_PARAMETERS angstrom
5.0459 0.0000 0.0000
0.0000 6.4381 0.0000
0.0000 0.0000 8.8623
ATOMIC_POSITIONS crystal
Cs 0.2500 0.2500 0.0866
Cs 0.7500 0.7500 0.9134
Zr 0.2500 0.0060 0.5714
Zr 0.2500 0.4940 0.5714
Zr 0.2500 0.7500 0.3004
Zr 0.7500 0.2500 0.6996
Zr 0.7500 0.5060 0.4286
Zr 0.7500 0.9940 0.4286
! Final energy: -5.84 eV per atom
! Space group: Pmmn
! Total magnetic moment: 0.26 μB per cell
! Crystal system: orthorhombic

***

! GdTm2Al3AgPt2 (PBE, optimized geometry); values from VASP
&SYSTEM
  ibrav = 0, nat = 9, ntyp = 5
/
ATOMIC_SPECIES
Gd 157.25 Gd.upf
Tm 168.93 Tm.upf
Al 26.98 Al.upf
Ag 107.87 Ag.upf
Pt 195.08 Pt.upf
CELL_PARAMETERS angstrom
3.8979 0.0000 0.0000
0.0000 6.3572 3.6506
0.0000 -6.3572 3.6506
ATOMIC_POSITIONS crystal
Gd 0.0000 0.0000 0.0000
Tm 0.0000 0.4142 0.8299
Tm 0.0000 0.8299 0.4142
Al 0.5000 0.1573 0.4172
Al 0.5000 0.4172 0.1573
Al 0.5000 0.6723 0.6723
Ag 0.0000 0.4191 0.4191
Pt 0.5000 0.0834 0.7445
Pt 0.5000 0.7445 0.0834
! Final energy: -5.30 eV per atom
! Space group: Amm2
! Total magnetic moment: 0.00 μB per cell
! Crystal system: orthorhombic

***

! PmOsPt (PBE, optimized geometry); values from VASP
&SYSTEM
  ibrav = 0, nat = 12, ntyp = 3
/
ATOMIC_SPECIES
Pm 145.00 Pm.upf
Os 190.23 Os.upf
Pt 195.08 Pt.upf
CELL_PARAMETERS angstrom
6.4999 0.0000 0.0000
0.0000 6.4999 0.0000
0.0000 0.0000 6.4999
ATOMIC_POSITIONS crystal
Pm 0.0000 0.0000 0.0000
Pm 0.0000 0.5000 0.5000
Pm 0.5000 0.0000 0.5000
Pm 0.5000 0.5000 0.0000
Os 0.2500 0.2500 0.7500
Os 0.2500 0.7500 0.2500
Os 0.7500 0.2500 0.2500
Os 0.7500 0.7500 0.7500
Pt 0.2500 0.2500 0.2500
Pt 0.2500 0.7500 0.7500
Pt 0.7500 0.2500 0.7500
Pt 0.7500 0.7500 0.2500
! Final energy: -6.50 eV per atom
! Formation energy: 81 kJ/mol of atoms
! Space group: F-43m
! Total magnetic moment: 0.34 μB per cell
! Relative energy among the computed polymorphs: 547 meV/atom
! Crystal system: cubic

***

! NdHfNb (PBE, optimized geometry); values from VASP
&SYSTEM
  ibrav = 0, nat = 12, ntyp = 3
/
ATOMIC_SPECIES
Nd 144.24 Nd.upf
Hf 178.49 Hf.upf
Nb 92.91 Nb.upf
CELL_PARAMETERS angstrom
6.8471 0.0000 0.0000
0.0000 6.8471 0.0000
0.0000 0.0000 6.8471
ATOMIC_POSITIONS crystal
Nd 0.0000 0.0000 0.0000
Nd 0.0000 0.5000 0.5000
Nd 0.5000 0.0000 0.5000
Nd 0.5000 0.5000 0.0000
Hf 0.0000 0.0000 0.5000
Hf 0.0000 0.5000 0.0000
Hf 0.5000 0.0000 0.0000
Hf 0.5000 0.5000 0.5000
Nb 0.2500 0.2500 0.7500
Nb 0.2500 0.7500 0.2500
Nb 0.7500 0.2500 0.2500
Nb 0.7500 0.7500 0.7500
! Final energy: -7.45 eV per atom
! Formation energy: 79 kJ/mol of atoms
! Space group: F-43m
! Total magnetic moment: 0.04 μB per cell
! Relative energy among the computed polymorphs: 0 meV/atom
! Crystal system: cubic

***

! NbAsOsO (PBE, optimized geometry); values from VASP
&SYSTEM
  ibrav = 0, nat = 8, ntyp = 4
/
ATOMIC_SPECIES
Nb 92.91 Nb.upf
As 74.92 As.upf
Os 190.23 Os.upf
O 16.00 O.upf
CELL_PARAMETERS angstrom
3.8270 0.0000 0.0000
0.0000 3.8270 0.0000
0.0000 0.0000 7.4131
ATOMIC_POSITIONS crystal
Nb 0.2500 0.7500 0.0000
Nb 0.7500 0.2500 0.0000
As 0.2500 0.2500 0.2650
As 0.7500 0.7500 0.7350
Os 0.2500 0.2500 0.6880
Os 0.7500 0.7500 0.3120
O 0.2500 0.7500 0.5000
O 0.7500 0.2500 0.5000
! Final energy: -7.56 eV per atom
! Space group: P4/nmm
! Total magnetic moment: 0.01 μB per cell
! Relative energy among the computed polymorphs: 825 meV/atom
! Crystal system: tetragonal

***

! CoReAgAs (PBE, optimized geometry); values from VASP
&SYSTEM
  ibrav = 0, nat = 16, ntyp = 4
/
ATOMIC_SPECIES
Co 58.93 Co.upf
Re 186.21 Re.upf
Ag 107.87 Ag.upf
As 74.92 As.upf
CELL_PARAMETERS angstrom
6.1355 0.0000 0.0000
0.0000 6.1355 0.0000
0.0000 0.0000 6.1355
ATOMIC_POSITIONS crystal
Co 0.0000 0.0000 0.0000
Co 0.0000 0.5000 0.5000
Co 0.5000 0.0000 0.5000
Co 0.5000 0.5000 0.0000
Re 0.0000 0.0000 0.5000
Re 0.0000 0.5000 0.0000
Re 0.5000 0.0000 0.0000
Re 0.5000 0.5000 0.5000
Ag 0.2500 0.2500 0.2500
Ag 0.2500 0.7500 0.7500
Ag 0.7500 0.2500 0.7500
Ag 0.7500 0.7500 0.2500
As 0.2500 0.2500 0.7500
As 0.2500 0.7500 0.2500
As 0.7500 0.2500 0.2500
As 0.7500 0.7500 0.7500
! Final energy: -6.15 eV per atom
! Space group: F-43m
! Total magnetic moment: 1.77 μB per cell
! Relative energy among the computed polymorphs: 0 meV/atom
! Crystal system: cubic

***

! Mg2CdSn (PBE, optimized geometry); values from VASP
&SYSTEM
  ibrav = 0, nat = 16, ntyp = 3
/
ATOMIC_SPECIES
Mg 24.30 Mg.upf
Cd 112.41 Cd.upf
Sn 118.71 Sn.upf
CELL_PARAMETERS angstrom
7.2309 0.0000 0.0000
0.0000 7.2309 0.0000
0.0000 0.0000 7.2309
ATOMIC_POSITIONS crystal
Mg 0.0000 0.0000 0.0000
Mg 0.0000 0.5000 0.5000
Mg 0.2500 0.2500 0.2500
Mg 0.2500 0.7500 0.7500
Mg 0.5000 0.0000 0.5000
Mg 0.5000 0.5000 0.0000
Mg 0.7500 0.2500 0.7500
Mg 0.7500 0.7500 0.2500
Cd 0.2500 0.2500 0.7500
Cd 0.2500 0.7500 0.2500
Cd 0.7500 0.2500 0.2500
Cd 0.7500 0.7500 0.7500
Sn 0.0000 0.0000 0.5000
Sn 0.0000 0.5000 0.0000
Sn 0.5000 0.0000 0.0000
Sn 0.5000 0.5000 0.5000
! Final energy: -2.00 eV per atom
! Space group: F-43m
! Crystal system: cubic

***

! Lu2NiAu (PBE, optimized geometry); values from VASP
&SYSTEM
  ibrav = 0, nat = 16, ntyp = 3
/
ATOMIC_SPECIES
Lu 174.97 Lu.upf
Ni 58.69 Ni.upf
Au 196.97 Au.upf
CELL_PARAMETERS angstrom
6.6803 0.0000 0.0000
0.0000 6.6803 0.0000
0.0000 0.0000 6.6803
ATOMIC_POSITIONS crystal
Lu 0.0000 0.0000 0.0000
Lu 0.0000 0.5000 0.5000
Lu 0.2500 0.2500 0.2500
Lu 0.2500 0.7500 0.7500
Lu 0.5000 0.0000 0.5000
Lu 0.5000 0.5000 0.0000
Lu 0.7500 0.2500 0.7500
Lu 0.7500 0.7500 0.2500
Ni 0.0000 0.0000 0.5000
Ni 0.0000 0.5000 0.0000
Ni 0.5000 0.0000 0.0000
Ni 0.5000 0.5000 0.5000
Au 0.2500 0.2500 0.7500
Au 0.2500 0.7500 0.2500
Au 0.7500 0.2500 0.2500
Au 0.7500 0.7500 0.7500
! Final energy: -4.79 eV per atom
! Formation energy: -31 kJ/mol of atoms
! Space group: F-43m
! Total magnetic moment: 0.01 μB per cell
! Crystal system: cubic

***

! KPrO3 (PBE, optimized geometry); values from VASP
&SYSTEM
  ibrav = 0, nat = 5, ntyp = 3
/
ATOMIC_SPECIES
K 39.10 K.upf
Pr 140.91 Pr.upf
O 16.00 O.upf
CELL_PARAMETERS angstrom
4.5427 0.0000 0.0000
0.0000 4.5427 0.0000
0.0000 0.0000 4.5502
ATOMIC_POSITIONS crystal
K 0.0000 0.0000 0.0000
Pr 0.5000 0.5000 0.4994
O 0.0000 0.5000 0.4968
O 0.5000 0.0000 0.4968
O 0.5000 0.5000 0.9991
! Final energy: -5.83 eV per atom
! Space group: P4mm
! Total magnetic moment: 2.00 μB per cell
! Crystal system: tetragonal

***

! AlPtW2 (PBE, optimized geometry); values from VASP
&SYSTEM
  ibrav = 0, nat = 16, ntyp = 3
/
ATOMIC_SPECIES
Al 26.98 Al.upf
Pt 195.08 Pt.upf
W 183.84 W.upf
CELL_PARAMETERS angstrom
6.2994 0.0000 0.0000
0.0000 6.2994 0.0000
0.0000 0.0000 6.2994
ATOMIC_POSITIONS crystal
Al 0.0000 0.0000 0.0000
Al 0.0000 0.5000 0.5000
Al 0.5000 0.0000 0.5000
Al 0.5000 0.5000 0.0000
Pt 0.2500 0.2500 0.2500
Pt 0.2500 0.7500 0.7500
Pt 0.7500 0.2500 0.7500
Pt 0.7500 0.7500 0.2500
W 0.0000 0.0000 0.5000
W 0.0000 0.5000 0.0000
W 0.2500 0.2500 0.7500
W 0.2500 0.7500 0.2500
W 0.5000 0.0000 0.0000
W 0.5000 0.5000 0.5000
W 0.7500 0.2500 0.2500
W 0.7500 0.7500 0.7500
! Final energy: -8.97 eV per atom
! Space group: F-43m
! Total magnetic moment: 0.02 μB per cell
! Crystal system: cubic

***

! RbHoAuSe3 (PBE, optimized geometry); values from VASP
&SYSTEM
  ibrav = 0, nat = 12, ntyp = 4
/
ATOMIC_SPECIES
Rb 85.47 Rb.upf
Ho 164.93 Ho.upf
Au 196.97 Au.upf
Se 78.96 Se.upf
CELL_PARAMETERS angstrom
2.0330 -7.8701 0.0000
2.0330 7.8701 0.0000
0.0000 0.0000 10.6439
ATOMIC_POSITIONS crystal
Rb 0.2467 0.7533 0.7500
Rb 0.7533 0.2467 0.2500
Ho 0.0000 0.0000 0.0000
Ho 0.0000 0.0000 0.5000
Au 0.4647 0.5353 0.2500
Au 0.5353 0.4647 0.7500
Se 0.0725 0.9275 0.2500
Se 0.3744 0.6256 0.0468
Se 0.3744 0.6256 0.4532
Se 0.6256 0.3744 0.5468
Se 0.6256 0.3744 0.9532
Se 0.9275 0.0725 0.7500
! Final energy: -4.32 eV per atom
! Space group: Cmcm
! Total magnetic moment: 0.18 μB per cell
! Crystal system: orthorhombic

***

! TaP (PBE, optimized geometry); values from VASP
&SYSTEM
  ibrav = 0, nat = 8, ntyp = 2
/
ATOMIC_SPECIES
Ta 180.95 Ta.upf
P 30.97 P.upf
CELL_PARAMETERS angstrom
5.5702 0.0000 0.0000
0.0000 5.5702 0.0000
0.0000 0.0000 5.5702
ATOMIC_POSITIONS crystal
Ta 0.0000 0.0000 0.0000
Ta 0.0000 0.5000 0.5000
Ta 0.5000 0.0000 0.5000
Ta 0.5000 0.5000 0.0000
P 0.2500 0.2500 0.2500
P 0.2500 0.7500 0.7500
P 0.7500 0.2500 0.7500
P 0.7500 0.7500 0.2500
! Final energy: -8.54 eV per atom
! Space group: F-43m
! Total magnetic moment: 0.09 μB per cell
! Crystal system: cubic